Entry 1:
SmPa2P | PBE | optimized geometry

abc: 10.3627 10.3627 10.3627
angles: 19.28 19.28 19.28
Closest atoms and distances in Å follow each position.
Atoms (fractional coordinates):
Sm (0.0000, 0.0000, 0.0000)  2 Pa 3.23, 6 Sm 3.47
Pa (0.1060, 0.1060, 0.1060)  3 P 2.73
Pa (0.8940, 0.8940, 0.8940)  3 P 2.73
P (0.5000, 0.5000, 0.5000)  6 Pa 2.73

Space group = No. 166
Energy relative to the elements = -0.143 eV/atom


Entry 2:
Sm3CrC3 | PBE | optimized geometry

abc: 6.8473 6.8473 5.2818
angles: 90.00 90.00 101.16
Closest atoms and distances in Å follow each position.
Atoms (fractional coordinates):
Sm (0.1102, 0.8898, 0.7500)  5 C 2.50-2.68
Sm (0.1735, 0.4118, 0.7500)  5 C 2.55-2.83
Sm (0.4118, 0.1735, 0.2500)  5 C 2.55-2.83
Sm (0.5882, 0.8265, 0.7500)  5 C 2.55-2.83
Sm (0.8265, 0.5882, 0.2500)  5 C 2.55-2.83
Sm (0.8898, 0.1102, 0.2500)  5 C 2.50-2.68
Cr (0.3021, 0.6979, 0.2500)  3 C 1.84-1.86
Cr (0.6979, 0.3021, 0.7500)  3 C 1.84-1.86
C (0.1264, 0.8736, 0.2500)  1 Cr 1.86
C (0.1805, 0.4334, 0.2500)  1 Cr 1.84
C (0.4334, 0.1805, 0.7500)  1 Cr 1.84
C (0.5666, 0.8195, 0.2500)  1 Cr 1.84
C (0.8195, 0.5666, 0.7500)  1 Cr 1.84
C (0.8736, 0.1264, 0.7500)  1 Cr 1.86

Space group = No. 63
Energy relative to the elements = -0.199 eV/atom